Entry 1:
Compound: TaIn2Si
Source: the Alexandria database
Functional: PBE
Structure: relaxed

a b c (Å): 3.016 3.016 9.312
angles (deg): 90.00 90.00 101.49
Sites, in units of the cell vectors:
1 Si 0.000 0.000 0.532
2 In 0.500 0.500 0.272
3 Ta 0.500 0.500 0.724
4 In 0.000 0.000 0.972

Results
**Symmetry**: No. 35
**Formation energy without anion corrections**: 0.19 eV per atom


Entry 2:
Compound: TaV2InSi
Source: the Alexandria database
Functional: PBE
Structure: relaxed

a b c (Å): 4.838 5.094 4.838
angles (deg): 90.00 90.00 90.00
Last column: magnetic moment on the atom in μB.
Sites, in units of the cell vectors:
1 V 0.500 0.000 0.000  2.06
2 Ta 0.000 0.500 0.000  -0.49
3 In 0.000 0.000 0.000  -0.02
4 V 0.000 0.000 0.500  2.40
5 Si 0.500 0.500 0.500  -0.06

Results
**Symmetry**: No. 123
**Formation energy without anion corrections**: 1.96 eV per atom


- The lowest formation energy without anion corrections belongs to which entry?
  TaIn2Si


What did the second record say?
Compound: TaV2InSi
Source: the Alexandria database
Functional: PBE
Structure: relaxed

a b c (Å): 4.838 5.094 4.838
angles (deg): 90.00 90.00 90.00
Last column: magnetic moment on the atom in μB.
Sites, in units of the cell vectors:
1 V 0.500 0.000 0.000  2.06
2 Ta 0.000 0.500 0.000  -0.49
3 In 0.000 0.000 0.000  -0.02
4 V 0.000 0.000 0.500  2.40
5 Si 0.500 0.500 0.500  -0.06

Results
**Symmetry**: No. 123
**Formation energy without anion corrections**: 1.96 eV per atom


- Which of these has the lowest formation energy without anion corrections?
  TaIn2Si


- Among the records above, which one has the lowest formation energy without anion corrections?
  TaIn2Si